Record 1
A crystal of MgZrNi2 relaxed with PBEsol, computed with meta-GGA SCAN.

a = 3.5349 Å, b = 3.9303 Å, c = 4.9854 Å
α = 113.22°, β = 110.76°, γ = 90.00°
Closest atoms and distances in Å follow each position.
Sites, in units of the cell vectors:
Mg1 0.2552 0.7552 0.5105  8 Ni 2.64-2.91, 4 Zr 2.82
Ni1 0.0011 0.0011 0.0023  4 Zr 2.64, 4 Mg 2.73-2.91, 4 Ni 2.74-2.90
Ni2 0.7485 0.2485 0.4970  4 Mg 2.64, 4 Zr 2.73-2.91, 4 Ni 2.74-2.90
Zr1 0.4951 0.4951 0.9902  8 Ni 2.64-2.91, 4 Mg 2.82

Output
DFT total energy   -17.163 eV/atom
Energy relative to the elements   -158 meV per atom
SG   Imm2

=====

Record 2
A crystal of Mg2ZrNi relaxed with PBEsol, computed with meta-GGA SCAN.

a = 2.9889 Å, b = 5.0774 Å, c = 5.5441 Å
α = 111.43°, β = 90.00°, γ = 107.12°
Closest atoms and distances in Å follow each position.
Sites, in units of the cell vectors:
Mg1 0.9874 0.9748 0.9916  2 Ni 2.63, 1 Mg 2.79
Mg2 0.2014 0.4028 0.7695  2 Ni 2.61, 1 Mg 2.79
Ni1 0.5188 0.0376 0.4002  3 Zr 2.57-2.80, 4 Mg 2.61-2.63
Zr1 0.7924 0.5848 0.3387  3 Ni 2.57-2.80

Output
DFT total energy   -14.206 eV/atom
Energy relative to the elements   -1 meV per atom
SG   Cm

=====

Record 3
A crystal of Mg2ZrNi relaxed with PBEsol, computed with meta-GGA SCAN.

a = 4.5767 Å, b = 4.5767 Å, c = 4.5767 Å
α = 60.00°, β = 60.00°, γ = 60.00°
Closest atoms and distances in Å follow each position.
Sites, in units of the cell vectors:
Mg1 0.0000 0.0000 0.0000  4 Zr 2.80, 4 Mg 2.80
Mg2 0.7500 0.7500 0.7500  4 Mg 2.80, 4 Ni 2.80
Ni1 0.5000 0.5000 0.5000  4 Mg 2.80, 4 Zr 2.80
Zr1 0.2500 0.2500 0.2500  4 Ni 2.80, 4 Mg 2.80

Output
DFT total energy   -14.311 eV/atom
Energy relative to the elements   -107 meV per atom
SG   F-43m

=====

Record 4
A crystal of Mg2ZrNi relaxed with PBEsol, computed with meta-GGA SCAN.

a = 3.1308 Å, b = 3.1308 Å, c = 9.2278 Å
α = 80.23°, β = 80.23°, γ = 60.00°
Closest atoms and distances in Å follow each position.
Sites, in units of the cell vectors:
Mg1 0.9995 0.9995 0.0016  9 Mg 3.13-3.20, 3 Zr 3.21
Mg2 0.7635 0.7635 0.7095  3 Ni 2.66
Ni1 0.5020 0.5020 0.4939  3 Zr 2.55, 3 Mg 2.66
Zr1 0.2350 0.2350 0.2950  3 Ni 2.55

Output
DFT total energy   -14.162 eV/atom
Energy relative to the elements   43 meV per atom
SG   R3m

=====

Record 5
A crystal of MgZrNi relaxed with PBEsol, computed with meta-GGA SCAN.

a = 3.0138 Å, b = 3.0138 Å, c = 6.0836 Å
α = 104.34°, β = 104.34°, γ = 90.00°
Closest atoms and distances in Å follow each position.
Sites, in units of the cell vectors:
Mg1 0.9751 0.9751 0.9502  4 Ni 2.69
Ni1 0.3314 0.3314 0.6628  4 Zr 2.65, 4 Mg 2.69
Zr1 0.6935 0.6935 0.3869  4 Ni 2.65

Output
DFT total energy   -17.451 eV/atom
Energy relative to the elements   -169 meV per atom
SG   I4mm

=====

Record 6
A crystal of MgZr2Ni2 relaxed with PBEsol, computed with meta-GGA SCAN.

a = 4.6649 Å, b = 4.6649 Å, c = 5.3175 Å
α = 116.02°, β = 116.02°, γ = 90.00°
Closest atoms and distances in Å follow each position.
Sites, in units of the cell vectors:
Ni1 0.3711 0.3711 0.7423  1 Ni 2.15
Ni2 0.6289 0.6289 0.2577  1 Ni 2.15
Mg1 0.0000 0.0000 0.0000  2 Ni 3.10, 8 Zr 3.13
Zr1 0.2500 0.7500 0.5000  4 Ni 2.54
Zr2 0.7500 0.2500 0.5000  4 Ni 2.54

Output
DFT total energy   -19.945 eV/atom
Energy relative to the elements   -202 meV per atom
SG   I4/mmm